Entry 1:
## NaTcB2Pt (GGA-PBE)

Data for an optimized crystal structure of NaTcB2Pt.

a b c (Å): 4.0147 4.0147 4.9793
angles (deg): 90.00 90.00 90.00
Space group P4/mmm (No. 123)
One atom of each set of equivalent atoms:
Na (0.0000, 0.0000, 0.0000)
Tc (0.0000, 0.0000, 0.5000)
B (0.0000, 0.5000, 0.5000)
Pt (0.5000, 0.5000, 0.0000)

Computed properties:
The energy of formation is 137.4 kJ per mole of atoms. Its crystal system is tetragonal.

=====

Entry 2:
## KMgPb2 (GGA-PBE)

Data for an optimized crystal structure of KMgPb2.

a b c (Å): 5.1133 5.1133 9.5781
angles (deg): 90.00 90.00 90.00
Space group I-4m2 (No. 119)
One atom of each set of equivalent atoms:
K (0.0000, 0.0000, 0.0000)
Mg (0.0000, 0.5000, 0.7500)
Pb (0.0000, 0.0000, 0.5000)
Pb (0.0000, 0.5000, 0.2500)

Computed properties:
The energy of formation is -0.7 kJ per mole of atoms. Its crystal system is tetragonal.

=====

Entry 3:
## MnCrFe2C (GGA-PBE)

Data for an optimized crystal structure of MnCrFe2C.

a b c (Å): 3.7246 3.7246 3.8719
angles (deg): 90.00 90.00 90.00
Space group P4/mmm (No. 123)
One atom of each set of equivalent atoms:
Mn (0.0000, 0.0000, 0.0000)
Cr (0.5000, 0.5000, 0.0000)
Fe (0.0000, 0.5000, 0.5000)
C (0.5000, 0.5000, 0.5000)

Computed properties:
The energy of formation is 5.4 kJ per mole of atoms. Its crystal system is tetragonal.

=====

Quick rundown of total DFT energy (no corrections), same order as above: -4.793, -2.534, -8.933 eV per atom